(1)
An optimized crystal structure of CoOs2Rh. Source: the Alexandria database, functional PBE.

a = 2.7033 Å, b = 2.7033 Å, c = 7.3826 Å
α = 90.00°, β = 90.00°, γ = 90.00°
Closest atoms and distances in Å follow each position.
Fractional coordinates of all 4 atoms:
Co: 0.0000 0.0000 0.0000  4 Os 2.59, 4 Rh 2.62, 4 Co 2.70
Os: 0.0000 0.0000 0.4940  8 Os 2.69-2.70, 4 Rh 2.72
Os: 0.5000 0.5000 0.2368  4 Co 2.59, 8 Os 2.69-2.70
Rh: 0.5000 0.5000 0.7563  4 Co 2.62, 4 Rh 2.70, 4 Os 2.72

Symmetry ... P4mm (99)



(2)
An optimized crystal structure of CoOs2Rh. Source: the Alexandria database, functional PBE.

a = 8.7933 Å, b = 8.7933 Å, c = 8.7933 Å
α = 17.60°, β = 17.60°, γ = 17.60°
Closest atoms and distances in Å follow each position.
Fractional coordinates of all 4 atoms:
Co: 0.0000 0.0000 0.0000  6 Os 2.60, 6 Co 2.69
Os: 0.2530 0.2530 0.2530  3 Co 2.60, 6 Os 2.69, 3 Rh 2.73
Os: 0.7470 0.7470 0.7470  3 Co 2.60, 6 Os 2.69, 3 Rh 2.73
Rh: 0.5000 0.5000 0.5000  6 Rh 2.69, 6 Os 2.73

Symmetry ... R-3m (166)



(3)
An optimized crystal structure of CoOs2Rh. Source: the Alexandria database, functional PBE.

a = 5.3505 Å, b = 5.3505 Å, c = 5.3505 Å
α = 150.71°, β = 132.21°, γ = 57.05°
Closest atoms and distances in Å follow each position.
Fractional coordinates of all 4 atoms:
Co: 0.0000 0.0000 0.0000  4 Os 2.44, 4 Rh 2.55, 2 Co 2.71
Os: 0.2159 0.7159 0.5000  2 Co 2.44, 6 Os 2.63-2.71
Os: 0.7841 0.2841 0.5000  2 Co 2.44, 6 Os 2.63-2.71
Rh: 0.5000 0.5000 0.0000  4 Co 2.55, 2 Rh 2.71

Symmetry ... Immm (71)



Which structure is the least stable? The one labeled (3).